# Mn2Tl2Se

Mn2Tl2Se after structural relaxation (PBE, Alexandria).

Computed properties:
- energy above the lowest structure with this stoichiometry (meV/atom) = 413.7
- total DFT energy (no corrections) (eV per formula unit) = -23.74
- uncorrected formation energy (eV per atom) = 0.56

Cell: 4.1255 4.1255 13.9208 Å, 90.00 90.00 90.00°
Fractional coordinates of all 10 atoms:
Mn 0.0000 0.0000 0.0912
Mn 0.0000 0.0000 0.9088
Mn 0.5000 0.5000 0.4088
Mn 0.5000 0.5000 0.5912
Tl 0.0000 0.5000 0.2500
Tl 0.0000 0.5000 0.7500
Tl 0.5000 0.0000 0.2500
Tl 0.5000 0.0000 0.7500
Se 0.0000 0.0000 0.5000
Se 0.5000 0.5000 0.0000